Computed, not measured: an optimized crystal structure of MnPbO2 at the GGA+U level of DFT. Values from VASP.

Results
Total magnetic moment: 4.0 μB per formula unit
V: 14.81 A^3/atom
Raw total energy: -6.40 eV/atom

The structure in Quantum ESPRESSO input format:
```
&SYSTEM
  ibrav = 0, nat = 4, ntyp = 3
/
ATOMIC_SPECIES
Pb 207.20 Pb.upf
Mn 54.94 Mn.upf
O 16.00 O.upf
ATOMIC_POSITIONS angstrom
Pb 0.000 0.000 0.000
Mn -8.352 -5.503 1.952
O -14.730 -9.705 3.443
O -1.974 -1.301 0.462
CELL_PARAMETERS angstrom
-6.609 -2.186 1.026
-5.165 -4.778 -0.100
-4.930 -4.042 2.978
```